No. 1
Computed, not measured: a relaxed structure of Tl2AsRh at the PBEsol level of DFT.

As for the energy relative to the elements: 0.398 eV per atom. The calculation puts the total DFT energy (no corrections) at -4.2283 eV per atom. The space group is Fm-3m. The energy relative to the lowest polymorph listed for this composition comes out at 0.459 eV/atom. The magnetization is 0.00 μB/cell.

Cell: 4.835 4.835 4.835 Å, 60.00 60.00 60.00°
Element x y z (fractional)
Tl1 0.250 0.250 0.250
Tl2 0.750 0.750 0.750
As1 0.000 0.000 0.000
Rh1 0.500 0.500 0.500

No. 2
Computed, not measured: a relaxed structure of TlAs2Rh at the PBEsol level of DFT.

As for the energy relative to the elements: -0.118 eV per atom. The calculation puts the total DFT energy (no corrections) at -5.3631 eV per atom. The space group is P2/m. The energy relative to the lowest polymorph listed for this composition comes out at 0.000 eV/atom. The magnetization is 0.00 μB/cell.

Cell: 4.632 3.997 4.933 Å, 90.00 113.43 90.00°
Element x y z (fractional)
Tl1 0.000 0.000 0.000
As1 0.295 0.500 0.651
As2 0.705 0.500 0.349
Rh1 0.500 0.000 0.500

No. 3
Computed, not measured: a relaxed structure of Tl2AsRh at the PBEsol level of DFT.

As for the energy relative to the elements: 0.323 eV per atom. The calculation puts the total DFT energy (no corrections) at -4.3031 eV per atom. The space group is R-3m. The energy relative to the lowest polymorph listed for this composition comes out at 0.384 eV/atom. The magnetization is 0.00 μB/cell.

Cell: 9.075 9.075 9.075 Å, 20.82 20.82 20.82°
Element x y z (fractional)
Tl1 0.242 0.242 0.242
Tl2 0.758 0.758 0.758
As1 0.000 0.000 0.000
Rh1 0.500 0.500 0.500